Entry i
BaLi2AgH after structural relaxation. Source: the Alexandria database, functional PBE-GGA.

abc: 4.500 4.500 5.490
angles: 90.00 90.00 90.00
Element x y z (fractional)
Ba (0.000, 0.000, 0.000)
Li (0.000, 0.500, 0.500)
Li (0.500, 0.000, 0.500)
Ag (0.500, 0.500, 0.000)
H (0.000, 0.000, 0.500)

Results
The density of states at the Fermi level comes out at 2.2 states/eV/f.u. The calculated volume is 111.2 Å³/f.u.

=====

Entry ii
BaLi2AgH after structural relaxation. Source: the Alexandria database, functional PBE-GGA.

abc: 6.309 6.309 8.175
angles: 90.00 90.00 139.84
Element x y z (fractional)
Ba (0.050, 0.950, 0.750)
Ba (0.950, 0.050, 0.250)
Li (0.336, 0.664, 0.557)
Li (0.336, 0.664, 0.943)
Li (0.664, 0.336, 0.057)
Li (0.664, 0.336, 0.443)
Ag (0.226, 0.774, 0.250)
Ag (0.774, 0.226, 0.750)
H (0.500, 0.500, 0.000)
H (0.500, 0.500, 0.500)

Results
The density of states at the Fermi level comes out at 2.5 states/eV/f.u. The calculated volume is 104.9 Å³/f.u.

=====

In order of decreasing stability: entry ii, entry i.

=====

Entry i
Ba2LiAgH after structural relaxation. Source: the Alexandria database, functional PBE-GGA.

abc: 5.641 5.641 4.573
angles: 90.00 90.00 90.00
Element x y z (fractional)
Ba (0.000, 0.500, 0.000)
Ba (0.500, 0.000, 0.000)
Li (0.000, 0.000, 0.500)
Ag (0.500, 0.500, 0.500)
H (0.500, 0.500, 0.000)

Results
The density of states at the Fermi level comes out at 4.3 states/eV/f.u. The calculated volume is 145.5 Å³/f.u.

=====

Entry ii
Ba2LiAgH after structural relaxation. Source: the Alexandria database, functional PBE-GGA.

abc: 7.504 4.517 9.234
angles: 90.00 109.34 90.00
Element x y z (fractional)
Ba (0.194, 0.250, 0.403)
Ba (0.220, 0.250, 0.953)
Ba (0.780, 0.750, 0.047)
Ba (0.806, 0.750, 0.597)
Li (0.439, 0.750, 0.247)
Li (0.561, 0.250, 0.753)
Ag (0.343, 0.750, 0.713)
Ag (0.657, 0.250, 0.287)
H (0.175, 0.750, 0.185)
H (0.825, 0.250, 0.815)

Results
The density of states at the Fermi level comes out at 3.2 states/eV/f.u. The calculated volume is 147.7 Å³/f.u.

=====

In order of decreasing stability: entry ii, entry i.

=====

Entry i
Ba2MgAgH after structural relaxation. Source: the Alexandria database, functional PBE-GGA.

abc: 5.693 5.693 4.484
angles: 90.00 90.00 90.00
Element x y z (fractional)
Ba (0.000, 0.500, 0.000)
Ba (0.500, 0.000, 0.000)
Mg (0.000, 0.000, 0.500)
Ag (0.500, 0.500, 0.500)
H (0.000, 0.000, 0.000)

Results
The density of states at the Fermi level comes out at 3.8 states/eV/f.u. The calculated volume is 145.3 Å³/f.u.

=====

Entry ii
Ba2MgAgH after structural relaxation. Source: the Alexandria database, functional PBE-GGA.

abc: 5.961 5.961 4.202
angles: 90.00 90.00 90.00
Element x y z (fractional)
Ba (0.000, 0.500, 0.000)
Ba (0.500, 0.000, 0.000)
Mg (0.000, 0.000, 0.500)
Ag (0.500, 0.500, 0.500)
H (0.500, 0.500, 0.000)

Results
The density of states at the Fermi level comes out at 3.7 states/eV/f.u. The calculated volume is 149.3 Å³/f.u.

=====

In order of decreasing stability: entry i, entry ii.

=====

Entry i
Ba2AgHPt after structural relaxation. Source: the Alexandria database, functional PBE-GGA.

abc: 5.525 5.525 4.107
angles: 90.00 90.00 90.00
Element x y z (fractional)
Ba (0.000, 0.500, 0.000)
Ba (0.500, 0.000, 0.000)
Ag (0.000, 0.000, 0.500)
H (0.000, 0.000, 0.000)
Pt (0.500, 0.500, 0.500)

Results
The density of states at the Fermi level comes out at 1.9 states/eV/f.u. The calculated volume is 125.4 Å³/f.u.

=====

Entry ii
Ba2AgHPt after structural relaxation. Source: the Alexandria database, functional PBE-GGA.

abc: 5.780 5.780 3.811
angles: 90.00 90.00 90.00
Element x y z (fractional)
Ba (0.000, 0.500, 0.000)
Ba (0.500, 0.000, 0.000)
Ag (0.000, 0.000, 0.500)
H (0.500, 0.500, 0.000)
Pt (0.500, 0.500, 0.500)

Results
The density of states at the Fermi level comes out at 2.2 states/eV/f.u. The calculated volume is 127.3 Å³/f.u.

=====

In order of decreasing stability: entry ii, entry i.

=====

Entry i
Ba2AgHRh after structural relaxation. Source: the Alexandria database, functional PBE-GGA.

abc: 5.769 5.769 3.713
angles: 90.00 90.00 90.00
Element x y z (fractional)
Ba (0.000, 0.500, 0.000)
Ba (0.500, 0.000, 0.000)
Ag (0.000, 0.000, 0.500)
H (0.500, 0.500, 0.000)
Rh (0.500, 0.500, 0.500)

Results
The density of states at the Fermi level comes out at 2.0 states/eV/f.u. The calculated volume is 123.5 Å³/f.u.

=====

Entry ii
Ba2AgHRh after structural relaxation. Source: the Alexandria database, functional PBE-GGA.

abc: 6.934 4.526 9.248
angles: 90.00 108.46 90.00
Element x y z (fractional)
Ba (0.229, 0.250, 0.401)
Ba (0.248, 0.250, 0.967)
Ba (0.752, 0.750, 0.033)
Ba (0.771, 0.750, 0.599)
Ag (0.328, 0.750, 0.704)
Ag (0.672, 0.250, 0.296)
H (0.168, 0.750, 0.156)
H (0.832, 0.250, 0.844)
Rh (0.422, 0.750, 0.231)
Rh (0.578, 0.250, 0.769)

Results
The density of states at the Fermi level comes out at 2.1 states/eV/f.u. The calculated volume is 137.7 Å³/f.u.

=====

In order of decreasing stability: entry ii, entry i.

=====

Entry i
BaAg2SnH after structural relaxation. Source: the Alexandria database, functional PBE-GGA.

abc: 6.449 6.449 6.832
angles: 90.00 90.00 90.00
Element x y z (fractional)
Ba (0.000, 0.000, 0.000)
Ag (0.000, 0.500, 0.000)
Ag (0.500, 0.000, 0.000)
Sn (0.000, 0.000, 0.500)
H (0.500, 0.500, 0.500)

Results
The density of states at the Fermi level comes out at 6.3 states/eV/f.u. The calculated volume is 284.1 Å³/f.u.

=====

Entry ii
BaAg2SnH after structural relaxation. Source: the Alexandria database, functional PBE-GGA.

abc: 6.697 6.697 7.611
angles: 90.00 90.00 138.76
Element x y z (fractional)
Ba (0.067, 0.933, 0.750)
Ba (0.933, 0.067, 0.250)
Ag (0.350, 0.650, 0.561)
Ag (0.350, 0.650, 0.939)
Ag (0.650, 0.350, 0.061)
Ag (0.650, 0.350, 0.439)
Sn (0.219, 0.781, 0.250)
Sn (0.781, 0.219, 0.750)
H (0.500, 0.500, 0.000)
H (0.500, 0.500, 0.500)

Results
The density of states at the Fermi level comes out at 1.9 states/eV/f.u. The calculated volume is 112.5 Å³/f.u.

=====

In order of decreasing stability: entry ii, entry i.

=====

Entry i
Ba2TlAgH after structural relaxation. Source: the Alexandria database, functional PBE-GGA.

abc: 5.685 5.685 4.654
angles: 90.00 90.00 90.00
Element x y z (fractional)
Ba (0.000, 0.500, 0.000)
Ba (0.500, 0.000, 0.000)
Tl (0.000, 0.000, 0.500)
Ag (0.500, 0.500, 0.500)
H (0.000, 0.000, 0.000)

Results
The density of states at the Fermi level comes out at 4.0 states/eV/f.u. The calculated volume is 150.4 Å³/f.u.

=====

Entry ii
Ba2TlAgH after structural relaxation. Source: the Alexandria database, functional PBE-GGA.

abc: 5.945 5.945 4.162
angles: 90.00 90.00 90.00
Element x y z (fractional)
Ba (0.000, 0.500, 0.000)
Ba (0.500, 0.000, 0.000)
Tl (0.000, 0.000, 0.500)
Ag (0.500, 0.500, 0.500)
H (0.500, 0.500, 0.000)

Results
The density of states at the Fermi level comes out at 1.6 states/eV/f.u. The calculated volume is 147.1 Å³/f.u.

=====

In order of decreasing stability: entry ii, entry i.

=====

Entry i
Ba2HfAg after structural relaxation. Source: the Alexandria database, functional PBE-GGA.

abc: 5.830 5.830 5.830
angles: 60.00 60.00 60.00
Element x y z (fractional)
Ba (0.250, 0.250, 0.250)
Ba (0.750, 0.750, 0.750)
Hf (0.000, 0.000, 0.000)
Ag (0.500, 0.500, 0.500)

Results
The density of states at the Fermi level comes out at 5.3 states/eV/f.u. The calculated volume is 140.1 Å³/f.u.

=====

Entry ii
Ba2HfAg after structural relaxation. Source: the Alexandria database, functional PBE-GGA.

abc: 7.344 7.344 7.344
angles: 102.05 102.05 125.63
Element x y z (fractional)
Ba (0.092, 0.625, 0.967)
Ba (0.375, 0.342, 0.467)
Ba (0.658, 0.125, 0.033)
Ba (0.875, 0.908, 0.533)
Hf (0.250, 0.750, 0.500)
Hf (0.500, 0.500, 0.000)
Ag (0.000, 0.000, 0.000)
Ag (0.750, 0.250, 0.500)

Results
The density of states at the Fermi level comes out at 5.7 states/eV/f.u. The calculated volume is 143.2 Å³/f.u.

=====

In order of decreasing stability: entry i, entry ii.

=====

Entry i
Ba2Ag2Hg after structural relaxation. Source: the Alexandria database, functional PBE-GGA.

abc: 9.340 9.340 4.302
angles: 90.00 90.00 90.00
Element x y z (fractional)
Ba (0.174, 0.326, 0.000)
Ba (0.326, 0.826, 0.000)
Ba (0.674, 0.174, 0.000)
Ba (0.826, 0.674, 0.000)
Ag (0.112, 0.612, 0.500)
Ag (0.388, 0.112, 0.500)
Ag (0.612, 0.888, 0.500)
Ag (0.888, 0.388, 0.500)
Hg (0.000, 0.000, 0.000)
Hg (0.500, 0.500, 0.000)

Results
The density of states at the Fermi level comes out at 2.6 states/eV/f.u. The calculated volume is 187.6 Å³/f.u.

=====

Entry ii
Ba2Ag2Hg after structural relaxation. Source: the Alexandria database, functional PBE-GGA.

abc: 10.376 10.376 10.376
angles: 157.40 157.40 32.18
Element x y z (fractional)
Ba (0.107, 0.107, 0.000)
Ba (0.893, 0.893, 0.000)
Ag (0.250, 0.750, 0.500)
Ag (0.750, 0.250, 0.500)
Hg (0.500, 0.500, 0.000)

Results
The density of states at the Fermi level comes out at 3.0 states/eV/f.u. The calculated volume is 164.9 Å³/f.u.

=====

In order of decreasing stability: entry ii, entry i.

=====

Entry i
BaAg2Hg2 after structural relaxation. Source: the Alexandria database, functional PBE-GGA.

abc: 8.590 8.590 3.575
angles: 90.00 90.00 90.00
Element x y z (fractional)
Ba (0.000, 0.000, 0.000)
Ba (0.500, 0.500, 0.000)
Ag (0.171, 0.329, 0.500)
Ag (0.329, 0.829, 0.500)
Ag (0.671, 0.171, 0.500)
Ag (0.829, 0.671, 0.500)
Hg (0.124, 0.624, 0.000)
Hg (0.376, 0.124, 0.000)
Hg (0.624, 0.876, 0.000)
Hg (0.876, 0.376, 0.000)

Results
The density of states at the Fermi level comes out at 2.6 states/eV/f.u. The calculated volume is 131.9 Å³/f.u.

=====

Entry ii
BaAg2Hg2 after structural relaxation. Source: the Alexandria database, functional PBE-GGA.

abc: 8.412 8.412 3.707
angles: 90.00 90.00 90.00
Element x y z (fractional)
Ba (0.000, 0.000, 0.000)
Ba (0.500, 0.500, 0.000)
Ag (0.119, 0.381, 0.000)
Ag (0.381, 0.881, 0.000)
Ag (0.619, 0.119, 0.000)
Ag (0.881, 0.619, 0.000)
Hg (0.169, 0.669, 0.500)
Hg (0.331, 0.169, 0.500)
Hg (0.669, 0.831, 0.500)
Hg (0.831, 0.331, 0.500)

Results
The density of states at the Fermi level comes out at 2.5 states/eV/f.u. The calculated volume is 131.2 Å³/f.u.

=====

Entry iii
BaAg2Hg2 after structural relaxation. Source: the Alexandria database, functional PBE-GGA.

abc: 6.791 6.791 6.791
angles: 137.67 137.67 61.40
Element x y z (fractional)
Ba (0.000, 0.000, 0.000)
Ag (0.384, 0.384, 0.000)
Ag (0.616, 0.616, 0.000)
Hg (0.250, 0.750, 0.500)
Hg (0.750, 0.250, 0.500)

Results
The density of states at the Fermi level comes out at 2.2 states/eV/f.u. The calculated volume is 140.4 Å³/f.u.

=====

Entry iv
BaAg2Hg2 after structural relaxation. Source: the Alexandria database, functional PBE-GGA.

abc: 6.323 6.719 8.094
angles: 82.64 67.62 63.71
Element x y z (fractional)
Ba (0.133, 0.249, 0.250)
Ba (0.867, 0.751, 0.750)
Ag (0.244, 0.802, 0.947)
Ag (0.485, 0.706, 0.555)
Ag (0.515, 0.294, 0.445)
Ag (0.756, 0.198, 0.053)
Hg (0.144, 0.162, 0.704)
Hg (0.492, 0.659, 0.202)
Hg (0.508, 0.341, 0.798)
Hg (0.856, 0.838, 0.296)

Results
The density of states at the Fermi level comes out at 2.3 states/eV/f.u. The calculated volume is 142.4 Å³/f.u.

=====

In order of decreasing stability: entry iii, entry iv, entry ii, entry i.

=====

Entry i
Ba12Ag6Hg after structural relaxation. Source: the Alexandria database, functional PBE-GGA.

abc: 9.962 9.962 9.962
angles: 100.64 100.64 100.64
Element x y z (fractional)
Ba (0.056, 0.675, 0.918)
Ba (0.082, 0.944, 0.325)
Ba (0.177, 0.415, 0.569)
Ba (0.325, 0.082, 0.944)
Ba (0.415, 0.569, 0.177)
Ba (0.431, 0.823, 0.585)
Ba (0.569, 0.177, 0.415)
Ba (0.585, 0.431, 0.823)
Ba (0.675, 0.918, 0.056)
Ba (0.823, 0.585, 0.431)
Ba (0.918, 0.056, 0.675)
Ba (0.944, 0.325, 0.082)
Ag (0.137, 0.619, 0.316)
Ag (0.316, 0.137, 0.619)
Ag (0.381, 0.684, 0.863)
Ag (0.619, 0.316, 0.137)
Ag (0.684, 0.863, 0.381)
Ag (0.863, 0.381, 0.684)
Hg (0.000, 0.000, 0.000)

Results
The density of states at the Fermi level comes out at 17.8 states/eV/f.u. The calculated volume is 930.2 Å³/f.u.

=====

Entry ii
Ba12Ag6Hg after structural relaxation. Source: the Alexandria database, functional PBE-GGA.

abc: 10.271 10.271 10.271
angles: 109.47 109.47 109.47
Element x y z (fractional)
Ba (0.116, 0.817, 0.299)
Ba (0.183, 0.299, 0.482)
Ba (0.183, 0.701, 0.884)
Ba (0.299, 0.116, 0.817)
Ba (0.299, 0.482, 0.183)
Ba (0.482, 0.183, 0.299)
Ba (0.518, 0.817, 0.701)
Ba (0.701, 0.518, 0.817)
Ba (0.701, 0.884, 0.183)
Ba (0.817, 0.299, 0.116)
Ba (0.817, 0.701, 0.518)
Ba (0.884, 0.183, 0.701)
Ag (0.121, 0.621, 0.500)
Ag (0.379, 0.500, 0.879)
Ag (0.500, 0.121, 0.621)
Ag (0.500, 0.879, 0.379)
Ag (0.621, 0.500, 0.121)
Ag (0.879, 0.379, 0.500)
Hg (0.000, 0.000, 0.000)

Results
The density of states at the Fermi level comes out at 22.7 states/eV/f.u. The calculated volume is 834.2 Å³/f.u.

=====

In order of decreasing stability: entry ii, entry i.